This record from Alexandria describes an optimized crystal structure of Hf4Tc2Ru. The functional is PBE.

Cell and atoms, written as extended XYZ:
```
7
Lattice="-3.218 3.218 3.252 3.218 -3.218 3.252 3.218 3.218 -3.252" Properties=species:S:1:pos:R:3 pbc="T T T"
Hf 1.609 1.609 -1.626
Hf 1.609 -1.609 1.626
Hf -1.609 1.609 1.626
Hf 1.609 1.609 1.626
Tc 3.218 0.000 0.000
Tc 0.000 3.218 0.000
Ru 0.000 0.000 0.000
```

## Properties
- SG = No. 139
- calculated formation energy (eV per atom) = -0.37
- size of the total moment (μB per formula unit) = 0.0